This record from Alexandria via LeMat-Bulk describes AlTlAs2O8 after structural relaxation. The functional is PBE.

Cell lengths 5.7268, 5.7268, 5.7268 Å; angles 107.09, 107.09, 114.34 degrees
Positions (direct):
Al1 0.0000 0.0000 0.0000
Tl1 0.2500 0.7500 0.5000
As1 0.5000 0.5000 0.0000
As2 0.7500 0.2500 0.5000
O1 0.3010 0.1251 0.8241
O2 0.3010 0.4770 0.1759
O3 0.3762 0.0735 0.3028
O4 0.5230 0.6990 0.8241
O5 0.7707 0.0735 0.6972
O6 0.8749 0.6990 0.1759
O7 0.9265 0.2293 0.3028
O8 0.9265 0.6238 0.6972

Results
**ΔE_f (raw)**: -1.246 eV/atom
**V**: 143.79 Å³ per cell
**Final energy**: -70.03 eV per formula unit
**Mass density**: 5.9 g cm⁻³
**Space group**: I-4m2